## BaZr2I (PBE)

Data for BaZr2I after structural relaxation.

```
BaZr2I
1.0
-2.448 2.448 11.089
2.448 -2.448 11.089
2.448 2.448 -11.089
Ba Zr I
2 4 2
Cartesian
0.000 0.000 0.000
0.000 2.448 5.544
1.224 -0.554 8.316
1.894 1.224 2.772
1.224 3.002 -2.772
0.554 1.224 13.861
2.448 0.000 5.544
0.000 0.000 11.089
```

Calculated values
* symmetry: No. 122
* Fermi-level density of states: 1.474 states/eV per atom
* raw formation energy: 0.39 eV per atom